Record 1
Crystalline AcZr2RhN4 at its relaxed geometry. Source: Alexandria, functional PBE.

Calculated values
crystal system = orthorhombic
SG = Cmcm, No. 63
electronic total energy = -140.275 eV/cell

Unit cell a=3.3143 b=6.0722 c=11.5813 alpha=90.00 beta=90.00 gamma=105.84
Element x y z (fractional)
N (0.4460, 0.8920, 0.7500)
N (0.7319, 0.4637, 0.6048)
N (0.0000, 0.0000, 0.5000)
N (0.7319, 0.4637, 0.8952)
N (0.2681, 0.5363, 0.3952)
N (0.5540, 0.1080, 0.2500)
N (0.0000, 0.0000, 0.0000)
N (0.2681, 0.5363, 0.1048)
Rh (0.1565, 0.3129, 0.2500)
Rh (0.8435, 0.6871, 0.7500)
Zr (0.6321, 0.2642, 0.4496)
Zr (0.6321, 0.2642, 0.0504)
Zr (0.3679, 0.7358, 0.9496)
Zr (0.3679, 0.7358, 0.5504)
Ac (0.8920, 0.7839, 0.2500)
Ac (0.1080, 0.2161, 0.7500)



Record 2
Crystalline Ac3RuN at its relaxed geometry. Source: Alexandria, functional PBE.

Calculated values
crystal system = orthorhombic
SG = Pmc2_1, No. 26
electronic total energy = -63.787 eV/cell

Unit cell a=4.9466 b=7.6031 c=7.4267 alpha=90.00 beta=90.00 gamma=90.00
Element x y z (fractional)
N (0.5000, 0.7704, 0.8456)
N (0.5000, 0.2296, 0.3456)
Ru (0.0000, 0.7144, 0.3368)
Ru (0.0000, 0.2856, 0.8368)
Ac (0.5000, 0.4137, 0.0436)
Ac (0.5000, 0.0720, 0.6924)
Ac (0.5000, 0.5863, 0.5436)
Ac (0.5000, 0.9280, 0.1924)
Ac (0.0000, 0.2800, 0.3861)
Ac (0.0000, 0.7200, 0.8861)



Record 3
Crystalline Ac4RuN2 at its relaxed geometry. Source: Alexandria, functional PBE.

Calculated values
crystal system = tetragonal
SG = I4/m, No. 87
electronic total energy = -45.842 eV/cell

Unit cell a=6.3752 b=6.3752 c=6.3752 alpha=105.20 beta=105.20 gamma=118.40
Element x y z (fractional)
Ru (0.5000, 0.5000, 0.0000)
Ac (0.8342, 0.3276, 0.1618)
Ac (0.1658, 0.6724, 0.8382)
Ac (0.3276, 0.1658, 0.4935)
Ac (0.6724, 0.8342, 0.5065)
N (0.7500, 0.2500, 0.5000)
N (0.2500, 0.7500, 0.5000)



Record 4
Crystalline Ac8RuN2 at its relaxed geometry. Source: Alexandria, functional PBE.

Calculated values
crystal system = monoclinic
SG = C2/m, No. 12
electronic total energy = -63.262 eV/cell

Unit cell a=6.8610 b=8.3629 c=8.3629 alpha=62.29 beta=87.42 gamma=87.42
Element x y z (fractional)
Ac (0.7551, 0.6850, 0.1247)
Ac (0.2599, 0.3442, 0.3442)
Ac (0.7350, 0.1743, 0.1743)
Ac (0.7401, 0.6558, 0.6558)
Ac (0.2449, 0.8753, 0.3150)
Ac (0.7551, 0.1247, 0.6850)
Ac (0.2449, 0.3150, 0.8753)
Ac (0.2650, 0.8257, 0.8257)
N (0.6305, 0.8142, 0.8142)
N (0.3695, 0.1858, 0.1858)
Ru (0.0000, 0.0000, 0.0000)



Record 5
Crystalline Ac3Ru5N12 at its relaxed geometry. Source: Alexandria, functional PBE.

Calculated values
crystal system = cubic
SG = Ia-3d, No. 230
electronic total energy = -644.131 eV/cell

Unit cell a=11.3695 b=11.3695 c=11.3695 alpha=109.47 beta=109.47 gamma=109.47
Element x y z (fractional)
N (0.1082, 0.9236, 0.1124)
N (0.8112, 0.4958, 0.3876)
N (0.1846, 0.1082, 0.9958)
N (0.9958, 0.6082, 0.1846)
N (0.0042, 0.6124, 0.6888)
N (0.3154, 0.8112, 0.4236)
N (0.6124, 0.6082, 0.9236)
N (0.8876, 0.3112, 0.4958)
N (0.9236, 0.8154, 0.8112)
N (0.1082, 0.1846, 0.4958)
N (0.4958, 0.6846, 0.1082)
N (0.5042, 0.1888, 0.1124)
N (0.6846, 0.1888, 0.5764)
N (0.6846, 0.4958, 0.6082)
N (0.3876, 0.3918, 0.0764)
N (0.3918, 0.0042, 0.3154)
N (0.3154, 0.5042, 0.3918)
N (0.8876, 0.5764, 0.8918)
N (0.0764, 0.1846, 0.1888)
N (0.1846, 0.0764, 0.6888)
N (0.1888, 0.6846, 0.0764)
N (0.8918, 0.8154, 0.5042)
N (0.5764, 0.6888, 0.6846)
N (0.6082, 0.9958, 0.6846)
N (0.1124, 0.4236, 0.1082)
N (0.3112, 0.4236, 0.8154)
N (0.6888, 0.1124, 0.0042)
N (0.8154, 0.9236, 0.3112)
N (0.3876, 0.9958, 0.8112)
N (0.8918, 0.0764, 0.8876)
N (0.9236, 0.1082, 0.6124)
N (0.4958, 0.8112, 0.8876)
N (0.4236, 0.3112, 0.3154)
N (0.0042, 0.3918, 0.8154)
N (0.8154, 0.8918, 0.0042)
N (0.6082, 0.6124, 0.4236)
N (0.4236, 0.1124, 0.6082)
N (0.1124, 0.6888, 0.5042)
N (0.3918, 0.3876, 0.5764)
N (0.9958, 0.3876, 0.3112)
N (0.6888, 0.5764, 0.1846)
N (0.6124, 0.0042, 0.1888)
N (0.5764, 0.8876, 0.3918)
N (0.5042, 0.3154, 0.8918)
N (0.1888, 0.5042, 0.6124)
N (0.0764, 0.8918, 0.3876)
N (0.3112, 0.8876, 0.9958)
N (0.8112, 0.3154, 0.9236)
Ru (0.5000, 0.5000, 0.5000)
Ru (0.5000, 0.0000, 0.5000)
Ru (0.7500, 0.6250, 0.3750)
Ru (0.3750, 0.2500, 0.1250)
Ru (0.0000, 0.5000, 0.5000)
Ru (0.8750, 0.2500, 0.6250)
Ru (0.8750, 0.6250, 0.7500)
Ru (0.3750, 0.1250, 0.7500)
Ru (0.1250, 0.7500, 0.3750)
Ru (0.0000, 0.0000, 0.5000)
Ru (0.2500, 0.3750, 0.6250)
Ru (0.7500, 0.1250, 0.8750)
Ru (0.5000, 0.0000, 0.0000)
Ru (0.6250, 0.8750, 0.2500)
Ru (0.5000, 0.5000, 0.0000)
Ru (0.2500, 0.8750, 0.1250)
Ru (0.0000, 0.5000, 0.0000)
Ru (0.1250, 0.3750, 0.2500)
Ru (0.6250, 0.7500, 0.8750)
Ru (0.0000, 0.0000, 0.0000)
Ac (0.1250, 0.8750, 0.7500)
Ac (0.7500, 0.8750, 0.6250)
Ac (0.8750, 0.7500, 0.1250)
Ac (0.7500, 0.3750, 0.1250)
Ac (0.2500, 0.1250, 0.3750)
Ac (0.6250, 0.3750, 0.7500)
Ac (0.8750, 0.1250, 0.2500)
Ac (0.6250, 0.2500, 0.3750)
Ac (0.2500, 0.6250, 0.8750)
Ac (0.3750, 0.7500, 0.6250)
Ac (0.1250, 0.2500, 0.8750)
Ac (0.3750, 0.6250, 0.2500)



Record 6
Crystalline Ac4RuN at its relaxed geometry. Source: Alexandria, functional PBE.

Calculated values
crystal system = monoclinic
SG = C2/c, No. 15
electronic total energy = -72.658 eV/cell

Unit cell a=7.3468 b=7.3229 c=9.0888 alpha=104.30 beta=104.41 gamma=112.69
Element x y z (fractional)
Ac (0.7996, 0.5386, 0.6392)
Ac (0.5622, 0.3123, 0.0971)
Ac (0.2004, 0.4614, 0.3608)
Ac (0.0348, 0.7847, 0.0971)
Ac (0.9652, 0.2153, 0.9029)
Ac (0.4378, 0.6877, 0.9029)
Ac (0.6604, 0.8994, 0.3608)
Ac (0.3396, 0.1006, 0.6392)
Ru (0.8272, 0.0772, 0.1544)
Ru (0.1728, 0.9228, 0.8456)
N (0.6807, 0.4307, 0.8614)
N (0.3193, 0.5693, 0.1386)



Results for Fermi-level density of states: 0.3499; 0.5499; 0.4064; 1.0090; 0.3721; 0.8848 (in states/eV/atom, following the order of the records).
Results for calculated volume: 224; 279; 196; 424; 1131; 404 (in Å³/cell, following the order of the records).
Results for formation energy from raw total energies: -1.035; -0.393; -0.497; -0.406; -0.121; -0.382 (in eV per atom, following the order of the records).